*i*
# PBE RbAsN, optimized geometry
data_RbAsN
_chemical_formula_sum 'Rb2 As2 N2'
_cell_length_a 3.7064
_cell_length_b 4.4962
_cell_length_c 9.7681
_cell_angle_alpha 88.25
_cell_angle_beta 79.36
_cell_angle_gamma 89.91
_symmetry_space_group_name_H-M 'P 1'
_symmetry_Int_Tables_number 1
loop_
_symmetry_equiv_pos_as_xyz
'x,y,z'
loop_
_atom_site_label
_atom_site_type_symbol
_atom_site_fract_x
_atom_site_fract_y
_atom_site_fract_z
Rb1 Rb 0.0000 0.0000 0.0000
Rb2 Rb 0.2258 0.1713 0.5611
As1 As 0.3879 0.4450 0.2306
As2 As 0.8389 0.7264 0.3304
N1 N 0.5959 0.4757 0.8144
N2 N 0.6274 0.6956 0.7467
# Density of states at the Fermi level = 2.1 states/eV per cell


*ii*
# PBE RbAsN, optimized geometry
data_RbAsN
_chemical_formula_sum 'Rb2 As2 N2'
_cell_length_a 4.4807
_cell_length_b 4.5665
_cell_length_c 9.3987
_cell_angle_alpha 80.96
_cell_angle_beta 80.89
_cell_angle_gamma 65.10
_symmetry_space_group_name_H-M 'P -1'
_symmetry_Int_Tables_number 2
loop_
_symmetry_equiv_pos_as_xyz
'x,y,z'
'-x,-y,-z'
loop_
_atom_site_label
_atom_site_type_symbol
_atom_site_fract_x
_atom_site_fract_y
_atom_site_fract_z
Rb1 Rb 0.0648 0.0627 0.2313
As1 As 0.3325 0.3327 0.4994
N1 N 0.4267 0.4266 0.0312
# Density of states at the Fermi level = 2.7 states/eV per cell


The calculated energies rank the structures as follows, beginning with the most stable: *ii*, *i*.


*i*
# PBE Rb2As2N, optimized geometry
data_Rb2As2N
_chemical_formula_sum 'Rb4 As4 N2'
_cell_length_a 3.7356
_cell_length_b 3.7356
_cell_length_c 19.9362
_cell_angle_alpha 90.00
_cell_angle_beta 90.00
_cell_angle_gamma 90.00
_symmetry_space_group_name_H-M 'I 4/m m m'
_symmetry_Int_Tables_number 139
_symmetry_space_group_name_Hall '-I 4 2'
loop_
_atom_site_label
_atom_site_type_symbol
_atom_site_fract_x
_atom_site_fract_y
_atom_site_fract_z
Rb1 Rb 0.0000 0.0000 0.0866
As1 As 0.0000 0.5000 0.2500
N1 N 0.0000 0.0000 0.5000
# Density of states at the Fermi level = 7.9 states/eV per cell


*ii*
# PBE Rb2As2N, optimized geometry
data_Rb2As2N
_chemical_formula_sum 'Rb4 As4 N2'
_cell_length_a 8.3932
_cell_length_b 8.3932
_cell_length_c 5.4683
_cell_angle_alpha 90.00
_cell_angle_beta 90.00
_cell_angle_gamma 90.00
_symmetry_space_group_name_H-M 'P 4/m b m'
_symmetry_Int_Tables_number 127
_symmetry_space_group_name_Hall '-P 4 2ab'
loop_
_atom_site_label
_atom_site_type_symbol
_atom_site_fract_x
_atom_site_fract_y
_atom_site_fract_z
Rb1 Rb 0.2034 0.2966 0.0000
As1 As 0.0937 0.5937 0.5000
N1 N 0.0000 0.0000 0.0000
# Density of states at the Fermi level = 8.6 states/eV per cell


The calculated energies rank the structures as follows, beginning with the most stable: *i*, *ii*.


*i*
# PBE RbAsSe2N, optimized geometry
data_RbAsSe2N
_chemical_formula_sum 'Rb1 As1 Se2 N1'
_cell_length_a 6.6201
_cell_length_b 6.6201
_cell_length_c 6.7702
_cell_angle_alpha 90.00
_cell_angle_beta 90.00
_cell_angle_gamma 90.00
_symmetry_space_group_name_H-M 'P 4/m m m'
_symmetry_Int_Tables_number 123
_symmetry_space_group_name_Hall '-P 4 2'
loop_
_atom_site_label
_atom_site_type_symbol
_atom_site_fract_x
_atom_site_fract_y
_atom_site_fract_z
Rb1 Rb 0.0000 0.0000 0.0000
As1 As 0.0000 0.0000 0.5000
Se1 Se 0.0000 0.5000 0.0000
N1 N 0.5000 0.5000 0.5000
# Density of states at the Fermi level = 12.8 states/eV per cell


*ii*
# PBE RbAsSe2N, optimized geometry
data_RbAsSe2N
_chemical_formula_sum 'Rb1 As1 Se2 N1'
_cell_length_a 6.1511
_cell_length_b 6.1511
_cell_length_c 5.0134
_cell_angle_alpha 90.00
_cell_angle_beta 90.00
_cell_angle_gamma 90.00
_symmetry_space_group_name_H-M 'P 4/m m m'
_symmetry_Int_Tables_number 123
_symmetry_space_group_name_Hall '-P 4 2'
loop_
_atom_site_label
_atom_site_type_symbol
_atom_site_fract_x
_atom_site_fract_y
_atom_site_fract_z
Rb1 Rb 0.0000 0.0000 0.0000
As1 As 0.5000 0.5000 0.5000
Se1 Se 0.0000 0.5000 0.0000
N1 N 0.0000 0.0000 0.5000
# Density of states at the Fermi level = 13.0 states/eV per cell


The calculated energies rank the structures as follows, beginning with the most stable: *ii*, *i*.


*i*
# PBE RbAs2SeN, optimized geometry
data_RbAs2SeN
_chemical_formula_sum 'Rb1 As2 Se1 N1'
_cell_length_a 7.5875
_cell_length_b 7.5875
_cell_length_c 6.6486
_cell_angle_alpha 90.00
_cell_angle_beta 90.00
_cell_angle_gamma 90.00
_symmetry_space_group_name_H-M 'P 4/m m m'
_symmetry_Int_Tables_number 123
_symmetry_space_group_name_Hall '-P 4 2'
loop_
_atom_site_label
_atom_site_type_symbol
_atom_site_fract_x
_atom_site_fract_y
_atom_site_fract_z
Rb1 Rb 0.0000 0.0000 0.0000
As1 As 0.0000 0.5000 0.0000
Se1 Se 0.0000 0.0000 0.5000
N1 N 0.5000 0.5000 0.5000
# Density of states at the Fermi level = 7.3 states/eV per cell


*ii*
# PBE RbAs2SeN, optimized geometry
data_RbAs2SeN
_chemical_formula_sum 'Rb1 As2 Se1 N1'
_cell_length_a 4.4699
_cell_length_b 4.4699
_cell_length_c 5.4983
_cell_angle_alpha 90.00
_cell_angle_beta 90.00
_cell_angle_gamma 90.00
_symmetry_space_group_name_H-M 'P 4/m m m'
_symmetry_Int_Tables_number 123
_symmetry_space_group_name_Hall '-P 4 2'
loop_
_atom_site_label
_atom_site_type_symbol
_atom_site_fract_x
_atom_site_fract_y
_atom_site_fract_z
Rb1 Rb 0.0000 0.0000 0.0000
As1 As 0.0000 0.5000 0.5000
Se1 Se 0.5000 0.5000 0.0000
N1 N 0.5000 0.5000 0.5000
# Density of states at the Fermi level = 3.7 states/eV per cell


The calculated energies rank the structures as follows, beginning with the most stable: *ii*, *i*.


*i*
# PBE RbTe2AsN, optimized geometry
data_RbTe2AsN
_chemical_formula_sum 'Rb1 Te2 As1 N1'
_cell_length_a 6.3635
_cell_length_b 6.3635
_cell_length_c 3.5757
_cell_angle_alpha 90.00
_cell_angle_beta 90.00
_cell_angle_gamma 90.00
_symmetry_space_group_name_H-M 'P 4/m m m'
_symmetry_Int_Tables_number 123
_symmetry_space_group_name_Hall '-P 4 2'
loop_
_atom_site_label
_atom_site_type_symbol
_atom_site_fract_x
_atom_site_fract_y
_atom_site_fract_z
Rb1 Rb 0.0000 0.0000 0.0000
Te1 Te 0.0000 0.5000 0.5000
As1 As 0.5000 0.5000 0.5000
N1 N 0.5000 0.5000 0.0000
# Density of states at the Fermi level = 4.1 states/eV per cell


*ii*
# PBE RbTe2AsN, optimized geometry
data_RbTe2AsN
_chemical_formula_sum 'Rb1 Te2 As1 N1'
_cell_length_a 6.3083
_cell_length_b 6.3083
_cell_length_c 4.9926
_cell_angle_alpha 90.00
_cell_angle_beta 90.00
_cell_angle_gamma 90.00
_symmetry_space_group_name_H-M 'P 4/m m m'
_symmetry_Int_Tables_number 123
_symmetry_space_group_name_Hall '-P 4 2'
loop_
_atom_site_label
_atom_site_type_symbol
_atom_site_fract_x
_atom_site_fract_y
_atom_site_fract_z
Rb1 Rb 0.0000 0.0000 0.0000
Te1 Te 0.0000 0.5000 0.0000
As1 As 0.5000 0.5000 0.5000
N1 N 0.0000 0.0000 0.5000
# Density of states at the Fermi level = 7.9 states/eV per cell


The calculated energies rank the structures as follows, beginning with the most stable: *i*, *ii*.


*i*
# PBE ReAsSe2N, optimized geometry
data_ReAsSe2N
_chemical_formula_sum 'Re1 As1 Se2 N1'
_cell_length_a 5.0461
_cell_length_b 5.0461
_cell_length_c 3.7308
_cell_angle_alpha 90.00
_cell_angle_beta 90.00
_cell_angle_gamma 90.00
_symmetry_space_group_name_H-M 'P 4/m m m'
_symmetry_Int_Tables_number 123
_symmetry_space_group_name_Hall '-P 4 2'
loop_
_atom_site_label
_atom_site_type_symbol
_atom_site_fract_x
_atom_site_fract_y
_atom_site_fract_z
Re1 Re 0.0000 0.0000 0.0000
As1 As 0.5000 0.5000 0.5000
Se1 Se 0.0000 0.5000 0.0000
N1 N 0.0000 0.0000 0.5000
# Density of states at the Fermi level = 3.2 states/eV per cell


*ii*
# PBE ReAsSe2N, optimized geometry
data_ReAsSe2N
_chemical_formula_sum 'Re1 As1 Se2 N1'
_cell_length_a 4.3031
_cell_length_b 4.3031
_cell_length_c 4.1419
_cell_angle_alpha 90.00
_cell_angle_beta 90.00
_cell_angle_gamma 90.00
_symmetry_space_group_name_H-M 'P 4/m m m'
_symmetry_Int_Tables_number 123
_symmetry_space_group_name_Hall '-P 4 2'
loop_
_atom_site_label
_atom_site_type_symbol
_atom_site_fract_x
_atom_site_fract_y
_atom_site_fract_z
Re1 Re 0.0000 0.0000 0.0000
As1 As 0.5000 0.5000 0.0000
Se1 Se 0.0000 0.5000 0.5000
N1 N 0.5000 0.5000 0.5000
# Density of states at the Fermi level = 3.6 states/eV per cell


The calculated energies rank the structures as follows, beginning with the most stable: *i*, *ii*.